# 1
A plane-wave DFT calculation with PBE was carried out for a relaxed Sr2AlCuAu6 crystal.

Cell: 7.0819 6.9474 7.0888 Å, 75.13 48.55 95.05°
Last column: nearest neighbours and their distance in Å.
Sites, in units of the cell vectors:
1 Au 0.7566 0.2553 0.0098  1 Al 2.56, 1 Cu 2.62, 1 Au 2.86
2 Sr 0.2397 0.7849 0.4557  7 Au 3.24-3.63
3 Au 0.7480 0.6271 0.1220  1 Al 2.58, 1 Cu 2.60, 1 Au 2.89
4 Au 0.2434 0.7447 0.9902  1 Al 2.56, 1 Cu 2.62, 1 Au 2.86
5 Au 0.2520 0.3729 0.8780  1 Al 2.58, 1 Cu 2.60, 1 Au 2.89
6 Sr 0.7603 0.2151 0.5443  7 Au 3.24-3.63
7 Au 0.2656 0.2532 0.5011  1 Al 2.56, 1 Cu 2.62, 1 Au 2.86
8 Cu 0.5000 0.5000 0.0000  6 Au 2.60-2.62
9 Au 0.7345 0.7468 0.4989  1 Al 2.56, 1 Cu 2.62, 1 Au 2.86
10 Al 0.0000 0.0000 0.0000  6 Au 2.56-2.58

Summary:
* ΔE_f: -0.4866 eV per atom
* spin magnetization: 0.0 μB per formula unit
* crystal system: triclinic
* V: 236 Å³/f.u.

# 2
A plane-wave DFT calculation with PBE was carried out for a relaxed RbNiBiCl6 crystal.

Cell: 6.7727 6.7729 7.2691 Å, 90.00 90.01 60.00°
Last column: nearest neighbours and their distance in Å.
Sites, in units of the cell vectors:
1 Ni 0.3333 0.3334 0.5000  6 Cl 2.43
2 Cl 0.6115 0.3541 0.6985  1 Ni 2.43
3 Cl 0.3541 0.0344 0.6985  1 Ni 2.43
4 Cl 0.0344 0.3541 0.3015  1 Ni 2.43
5 Cl 0.6115 0.0344 0.3015  1 Ni 2.43
6 Rb 0.0000 0.0000 0.0000  6 Cl 3.34
7 Cl 0.0343 0.6115 0.6984  1 Ni 2.43
8 Cl 0.3541 0.6115 0.3015  1 Ni 2.43
9 Bi 0.6666 0.6667 0.5000  6 Cl 2.74

Summary:
* raw formation energy: -9.72 eV/f.u.
* spin magnetization: 2.0 μB per formula unit
* crystal system: trigonal
* V: 289 Å³/f.u.

# 3
A plane-wave DFT calculation with PBE was carried out for a relaxed NaPr2Er3Te6 crystal.

Cell: 4.3766 8.9562 9.9631 Å, 104.01 102.69 90.00°
Last column: nearest neighbours and their distance in Å.
Sites, in units of the cell vectors:
1 Te 0.3396 0.4054 0.6793  3 Er 3.01-3.02, 3 Pr 3.16-3.17
2 Na 0.5000 0.0000 0.0000  6 Te 3.18
3 Pr 0.8278 0.6534 0.6555  6 Te 3.16-3.28
4 Te 0.9979 0.2558 0.9957  3 Er 3.09-3.11, 2 Na 3.18, 1 Pr 3.28
5 Pr 0.1722 0.3466 0.3445  6 Te 3.16-3.28
6 Er 0.8327 0.1708 0.6654  6 Te 3.01-3.11
7 Te 0.3314 0.9261 0.6628  3 Er 3.09, 1 Na 3.18, 2 Pr 3.27
8 Te 0.6604 0.5946 0.3207  3 Er 3.01-3.02, 3 Pr 3.16-3.17
9 Er 0.5000 0.5000 0.0000  6 Te 3.02-3.09
10 Te 0.0021 0.7442 0.0043  3 Er 3.09-3.11, 2 Na 3.18, 1 Pr 3.28
11 Te 0.6686 0.0739 0.3372  3 Er 3.09, 1 Na 3.18, 2 Pr 3.27
12 Er 0.1673 0.8292 0.3346  6 Te 3.01-3.11

Summary:
* raw formation energy: -15.98 eV/f.u.
* spin magnetization: 0.0 μB per formula unit
* crystal system: monoclinic
* V: 369 Å³/f.u.